# 1
Compound: BaYNi
Source: Alexandria via LeMat-Bulk
Functional: PBE
Structure: optimized geometry

Values from the calculation:
Space group: No. 2
E_tot, eV per cell: -29.04
Calculated formation energy, eV per atom: -0.12
Energy above the most stable polymorph in this dataset, eV per formula unit: 0.16

Unit cell a=3.913 b=5.200 c=11.072 alpha=84.72 beta=80.74 gamma=68.02
Fractional positions:
Ba1 0.724 0.249 0.334
Ba2 0.276 0.751 0.666
Y1 0.900 0.281 0.910
Y2 0.100 0.719 0.090
Ni1 0.384 0.147 0.096
Ni2 0.616 0.853 0.904

# 2
Compound: BaY2Ni2
Source: Alexandria via LeMat-Bulk
Functional: PBE
Structure: optimized geometry

Values from the calculation:
Space group: No. 139
E_tot, eV per cell: -26.83
Calculated formation energy, eV per atom: -0.08
Energy above the most stable polymorph in this dataset, eV per formula unit: 0.00

Unit cell a=4.766 b=4.766 c=6.662 alpha=69.04 beta=69.04 gamma=90.00
Fractional positions:
Y1 0.750 0.250 0.500
Y2 0.250 0.750 0.500
Ni1 0.391 0.391 0.218
Ni2 0.609 0.609 0.782
Ba1 0.000 0.000 0.000

# 3
Compound: BaYNi2
Source: Alexandria via LeMat-Bulk
Functional: PBE
Structure: optimized geometry

Values from the calculation:
Space group: No. 122
E_tot, eV per cell: -37.48
Calculated formation energy, eV per atom: 0.30
Energy above the most stable polymorph in this dataset, eV per formula unit: 1.61

Unit cell a=7.647 b=7.647 c=6.438 alpha=53.57 beta=53.57 gamma=90.00
Fractional positions:
Y1 0.500 0.500 0.000
Y2 0.250 0.750 0.500
Ni1 0.591 0.125 0.250
Ni2 0.159 0.625 0.250
Ni3 0.375 0.409 0.750
Ni4 0.875 0.841 0.750
Ba1 0.000 0.000 0.000
Ba2 0.750 0.250 0.500

# 4
Compound: BaY2Ni
Source: Alexandria via LeMat-Bulk
Functional: PBE
Structure: optimized geometry

Values from the calculation:
Space group: No. 141
E_tot, eV per cell: -37.90
Calculated formation energy, eV per atom: 0.42
Energy above the most stable polymorph in this dataset, eV per formula unit: 1.97

Unit cell a=8.102 b=8.102 c=8.083 alpha=59.92 beta=59.92 gamma=90.00
Fractional positions:
Y1 0.375 0.125 0.250
Y2 0.375 0.625 0.250
Y3 0.375 0.625 0.750
Y4 0.875 0.625 0.750
Ni1 0.500 0.500 0.000
Ni2 0.250 0.750 0.500
Ba1 0.000 0.000 0.000
Ba2 0.750 0.250 0.500

# 5
Compound: BaYNi
Source: Alexandria via LeMat-Bulk
Functional: PBE
Structure: optimized geometry

Values from the calculation:
Space group: No. 107
E_tot, eV per cell: -14.22
Calculated formation energy, eV per atom: -0.02
Energy above the most stable polymorph in this dataset, eV per formula unit: 0.46

Unit cell a=7.279 b=7.279 c=3.631 alpha=75.56 beta=75.55 gamma=28.89
Fractional positions:
Ba1 0.972 0.972 0.028
Ni1 0.309 0.309 0.691
Y1 0.719 0.719 0.281

# 6
Compound: Ba2YNi
Source: Alexandria via LeMat-Bulk
Functional: PBE
Structure: optimized geometry

Values from the calculation:
Space group: No. 123
E_tot, eV per cell: -14.97
Calculated formation energy, eV per atom: 0.28
Energy above the most stable polymorph in this dataset, eV per formula unit: 1.10

Unit cell a=3.820 b=3.820 c=9.901 alpha=90.00 beta=90.00 gamma=90.00
Site moments in Bohr magnetons follow the coordinates.
Fractional positions:
Ba1 0.000 0.000 0.065  0.02
Ba2 0.000 0.000 0.435  0.02
Ni1 0.500 0.500 0.250  0.12
Y1 0.500 0.500 0.750  0.41

# 7
Compound: Ba2YNi
Source: Alexandria via LeMat-Bulk
Functional: PBE
Structure: optimized geometry

Values from the calculation:
Space group: No. 139
E_tot, eV per cell: -14.02
Calculated formation energy, eV per atom: 0.52
Energy above the most stable polymorph in this dataset, eV per formula unit: 2.04

Unit cell a=6.712 b=6.712 c=6.712 alpha=138.62 beta=138.62 gamma=59.95
Fractional positions:
Ba1 0.000 0.000 0.000
Ba2 0.500 0.500 0.000
Ni1 0.250 0.750 0.500
Y1 0.750 0.250 0.500

# 8
Compound: BaY2Ni
Source: Alexandria via LeMat-Bulk
Functional: PBE
Structure: optimized geometry

Values from the calculation:
Space group: No. 99
E_tot, eV per cell: -20.48
Calculated formation energy, eV per atom: 0.04
Energy above the most stable polymorph in this dataset, eV per formula unit: 0.44

Unit cell a=3.715 b=3.715 c=9.017 alpha=90.00 beta=90.00 gamma=90.00
Site moments in Bohr magnetons follow the coordinates.
Fractional positions:
Ba1 0.000 0.000 0.553  0.00
Ni1 0.500 0.500 0.816  0.07
Y1 0.000 0.000 0.934  0.07
Y2 0.500 0.500 0.197  0.29